# 1
18
Lattice="5.563 0.000 0.000 -2.782 4.818 0.000 0.000 0.000 10.026" Properties=species:S:1:pos:R:3 comment="TbPrIrO6 (PBE, optimized geometry)" energy_ev_per_cell=-134.92 dos_at_fermi_per_ev_cell=6.56 m_tot_mub_per_atom=0.331 pbc="T T T"
Tb 0.000 3.212 2.506
Tb 2.782 1.606 7.519
Pr 0.000 0.000 0.000
Pr 0.000 0.000 5.013
Ir 0.000 3.212 7.519
Ir 2.782 1.606 2.506
O -0.810 1.815 6.407
O -1.615 3.209 8.632
O 0.810 1.815 8.632
O -0.805 4.612 6.407
O 1.977 0.206 1.394
O 1.166 1.609 3.619
O 1.615 3.209 6.407
O 0.805 4.612 8.632
O 3.586 0.206 3.619
O 1.971 3.003 1.394
O 4.397 1.609 1.394
O 3.592 3.003 3.619

=====

# 2
10
Lattice="4.162 0.000 0.000 0.000 4.162 0.000 0.000 0.000 13.986" Properties=species:S:1:pos:R:3 comment="Ag2Hg2Pb (PBE, optimized geometry)" energy_ev_per_cell=-18.77 dos_at_fermi_per_ev_cell=3.62 m_tot_mub_per_atom=0.000 de_polymorph_mev_per_atom=47 e_form_ev_per_atom=0.126 pbc="T T T"
Ag 0.000 0.000 1.374
Ag 0.000 0.000 12.612
Ag 2.081 2.081 5.619
Ag 2.081 2.081 8.367
Hg 0.000 2.081 3.497
Hg 0.000 2.081 10.490
Hg 2.081 0.000 3.497
Hg 2.081 0.000 10.490
Pb 0.000 0.000 6.993
Pb 2.081 2.081 0.000

=====

# 3
4
Lattice="3.495 0.000 0.000 0.000 3.495 0.000 0.000 0.000 7.218" Properties=species:S:1:pos:R:3 comment="YCuHg2 (PBE, optimized geometry)" energy_ev_per_cell=-11.74 dos_at_fermi_per_ev_cell=2.29 m_tot_mub_per_atom=0.000 e_form_ev_per_atom=-0.143 pbc="T T T"
Y 0.000 0.000 0.000
Cu 1.747 1.747 1.690
Hg 0.000 0.000 3.157
Hg 1.747 1.747 5.202

=====

# 4
8
Lattice="4.202 0.000 0.000 0.000 4.202 0.000 0.000 0.000 10.944" Properties=species:S:1:pos:R:3 comment="CeCdGeAu (PBE, optimized geometry)" energy_ev_per_cell=-32.60 dos_at_fermi_per_ev_cell=11.32 m_tot_mub_per_atom=0.140 de_polymorph_mev_per_atom=84 e_form_ev_per_atom=-0.389 pbc="T T T"
Ce 1.050 1.050 1.798
Ce 3.151 3.151 9.146
Cd 1.050 3.151 5.472
Cd 3.151 1.050 5.472
Ge 1.050 1.050 9.907
Ge 3.151 3.151 1.037
Au 1.050 1.050 7.417
Au 3.151 3.151 3.527

=====

# 5
16
Lattice="6.956 0.000 0.000 0.000 6.956 0.000 0.000 0.000 6.956" Properties=species:S:1:pos:R:3 comment="Tb2IrPd (PBE, optimized geometry)" energy_ev_per_cell=-107.27 dos_at_fermi_per_ev_cell=7.29 m_tot_mub_per_atom=0.000 de_polymorph_mev_per_atom=0 e_form_ev_per_atom=-0.876 pbc="T T T"
Tb 1.739 1.739 1.739
Tb 1.739 1.739 5.217
Tb 1.739 5.217 1.739
Tb 1.739 5.217 5.217
Tb 5.217 1.739 1.739
Tb 5.217 1.739 5.217
Tb 5.217 5.217 1.739
Tb 5.217 5.217 5.217
Ir 0.000 0.000 0.000
Ir 0.000 3.478 3.478
Ir 3.478 0.000 3.478
Ir 3.478 3.478 0.000
Pd 0.000 0.000 3.478
Pd 0.000 3.478 0.000
Pd 3.478 0.000 0.000
Pd 3.478 3.478 3.478

=====

# 6
12
Lattice="3.349 0.000 0.000 -1.675 2.901 0.000 0.000 0.000 35.625" Properties=species:S:1:pos:R:3 comment="PmSm2Nb (PBE, optimized geometry)" energy_ev_per_cell=-65.81 dos_at_fermi_per_ev_cell=18.98 m_tot_mub_per_atom=0.002 e_form_ev_per_atom=0.581 pbc="T T T"
Pm 0.000 0.000 0.000
Pm 0.000 1.934 23.750
Pm 1.675 0.967 11.875
Sm 0.000 0.000 14.910
Sm 0.000 0.000 20.715
Sm 0.000 1.934 3.035
Sm 0.000 1.934 8.840
Sm 1.675 0.967 26.785
Sm 1.675 0.967 32.590
Nb 0.000 0.000 17.812
Nb 0.000 1.934 5.937
Nb 1.675 0.967 29.687